Entry 1:
Mo5Rh: relaxed, PBE-GGA.

Cell: 4.636 2.653 15.360 Å, 90.00 90.00 90.00°
Space group Amm2 (No. 38)
Symmetry-distinct sites (fractional):
Mo 0.000 0.000 0.000 x2
Mo 0.000 0.000 0.325 x2
Mo 0.500 0.000 0.100 x2
Mo 0.500 0.000 0.430 x2
Mo 0.500 0.000 0.762 x2
Rh 0.000 0.000 0.657 x2

Properties
- M_tot (μB/cell) = 0.0
- energy (eV for the cell shown) = -120.669
- DOS(E_F) (states/eV per cell) = 14.3
- E above lowest polymorph (meV per atom) = 117

***

Entry 2:
MoRh: relaxed, PBE-GGA.

Cell: 9.678 9.678 2.723 Å, 90.00 90.00 90.00°
Space group I4/m (No. 87)
Symmetry-distinct sites (fractional):
Mo 0.106 0.839 0.000 x8
Rh 0.097 0.356 0.000 x8

Properties
- M_tot (μB/cell) = 0.0
- energy (eV for the cell shown) = -139.899
- DOS(E_F) (states/eV per cell) = 20.6

***

Entry 3:
Mo5Rh3: relaxed, PBE-GGA.

Cell: 7.6935 7.6935 4.8839 Å, 90.00 90.00 120.00°
Space group P6_3/mcm (No. 193)
Symmetry-distinct sites (fractional):
Mo 0.0000 0.2104 0.2500 x6
Mo 0.3333 0.6667 0.0000 x4
Rh 0.0000 0.4109 0.7500 x6

Properties
- M_tot (μB/cell) = 0.0
- energy (eV for the cell shown) = -150.536
- DOS(E_F) (states/eV per cell) = 17.5
- E above lowest polymorph (meV per atom) = 174

***

Entry 4:
Mo4Rh3: relaxed, PBE-GGA.

Cell: 5.0646 5.0646 4.8443 Å, 90.00 90.00 120.00°
Space group P6/mmm (No. 191)
Symmetry-distinct sites (fractional):
Mo 0.0000 0.0000 0.2392 x2
Mo 0.3333 0.6667 0.0000 x2
Rh 0.0000 0.5000 0.5000 x3

Properties
- M_tot (μB/cell) = 0.0
- energy (eV for the cell shown) = -65.242
- DOS(E_F) (states/eV per cell) = 8.8
- E above lowest polymorph (meV per atom) = 0

***

Entry 5:
Mo3Rh5: relaxed, PBE-GGA.

Cell: 7.733 7.831 3.874 Å, 90.00 90.00 90.00°
Space group Cmmm (No. 65)
Symmetry-distinct sites (fractional):
Mo 0.000 0.000 0.000 x2
Mo 0.250 0.000 0.500 x4
Rh 0.000 0.248 0.500 x4
Rh 0.000 0.500 0.000 x2
Rh 0.250 0.250 0.000 x4

Properties
- M_tot (μB/cell) = 0.0
- energy (eV for the cell shown) = -141.224
- DOS(E_F) (states/eV per cell) = 13.6
- E above lowest polymorph (meV per atom) = 0

***

Entry 6:
Mo2Rh: relaxed, PBE-GGA.

Cell: 4.4458 4.4458 2.7010 Å, 90.00 90.00 120.00°
Space group P-3m1 (No. 164)
Symmetry-distinct sites (fractional):
Mo 0.3333 0.6667 0.1057 x2
Rh 0.0000 0.0000 0.5000 x1

Properties
- M_tot (μB/cell) = 0.0
- energy (eV for the cell shown) = -28.667
- DOS(E_F) (states/eV per cell) = 2.4